DFT (PBE) results for an optimized crystal structure of Zn3Si.

Its crystal system is orthorhombic.

It has space group Cmmm (No. 65), with a = 5.7961 Å, b = 7.9162 Å, c = 2.6588 Å, α = 90.00°, β = 90.00° and γ = 90.00°. The asymmetric unit holds Zn at (0.0000, 0.0000, 0.0000), Zn at (0.2500, 0.2500, 0.5000) and Si at (0.0000, 0.5000, 0.0000).

=====

DFT (PBE) results for an optimized crystal structure of Zn2Si.

Its crystal system is monoclinic.

It has space group C2/m (No. 12), with a = 12.1506 Å, b = 2.7308 Å, c = 7.3555 Å, α = 90.00°, β = 125.33° and γ = 90.00°. The asymmetric unit holds Zn at (0.1372, 0.0000, 0.4450), Zn at (0.2324, 0.5000, 0.8120) and Si at (0.0458, 0.5000, 0.8941).

=====

DFT (PBE) results for an optimized crystal structure of Zn4Si.

The value obtained for the relative energy among the computed polymorphs is 298 meV/atom. Its crystal system is cubic.

It has space group Pm-3m (No. 221), with a = 4.7558 Å, b = 4.7558 Å, c = 4.7558 Å, α = 90.00°, β = 90.00° and γ = 90.00°. The asymmetric unit holds Zn at (0.0000, 0.0000, 0.0000), Zn at (0.0000, 0.5000, 0.5000) and Si at (0.5000, 0.5000, 0.5000).

=====

DFT (PBE) results for an optimized crystal structure of ZnSi3.

The value obtained for the relative energy among the computed polymorphs is 78 meV/atom. Its crystal system is orthorhombic.

It has space group Pnma (No. 62), with a = 6.9345 Å, b = 6.9201 Å, c = 5.2484 Å, α = 90.00°, β = 90.00° and γ = 90.00°. The asymmetric unit holds Zn at (0.0090, 0.2500, 0.1210), Si at (0.0293, 0.2500, 0.6241) and Si at (0.2336, 0.5103, 0.3767).

=====

DFT (PBE) results for an optimized crystal structure of Zn3Si.

Its crystal system is monoclinic.

It has space group P2/m (No. 10), with a = 2.7582 Å, b = 3.8447 Å, c = 5.7435 Å, α = 90.00°, β = 90.46° and γ = 90.00°. The asymmetric unit holds Zn at (0.0000, 0.0000, 0.0000), Zn at (0.4969, 0.5000, 0.7505) and Si at (0.0000, 0.0000, 0.5000).

=====

DFT (PBE) results for an optimized crystal structure of Zn2Si.

Its crystal system is tetragonal.

It has space group P4/mmm (No. 123), with a = 3.5904 Å, b = 3.5904 Å, c = 4.7801 Å, α = 90.00°, β = 90.00° and γ = 90.00°. The asymmetric unit holds Zn at (0.0000, 0.0000, 0.0000), Zn at (0.5000, 0.5000, 0.5000) and Si at (0.0000, 0.0000, 0.5000).

=====

DFT (PBE) results for an optimized crystal structure of ZnSi.

Its crystal system is cubic.

It has space group Pm-3n (No. 223), with a = 6.8524 Å, b = 6.8524 Å, c = 6.8524 Å, α = 90.00°, β = 90.00° and γ = 90.00°. The asymmetric unit holds Zn at (0.0000, 0.2500, 0.5000) and Si at (0.0000, 0.5000, 0.2500).

=====

DFT (PBE) results for an optimized crystal structure of ZnSi.

Its crystal system is triclinic.

It has space group P1 (No. 1), with a = 2.5930 Å, b = 2.6981 Å, c = 5.1469 Å, α = 83.54°, β = 76.19° and γ = 62.99°. The asymmetric unit holds Zn at (0.0000, 0.0000, 0.0000) and Si at (0.2616, 0.0135, 0.4799).

=====

DFT (PBE) results for an optimized crystal structure of Zn3Si.

Its crystal system is tetragonal.

It has space group P4/mmm (No. 123), with a = 2.8178 Å, b = 2.8178 Å, c = 7.6796 Å, α = 90.00°, β = 90.00° and γ = 90.00°. The asymmetric unit holds Zn at (0.0000, 0.0000, 0.0000), Zn at (0.5000, 0.5000, 0.2465) and Si at (0.0000, 0.0000, 0.5000).

=====

DFT (PBE) results for an optimized crystal structure of ZnSi3.

The value obtained for the relative energy among the computed polymorphs is 45 meV/atom. Its crystal system is monoclinic.

It has space group P2/m (No. 10), with a = 2.5304 Å, b = 4.5839 Å, c = 5.3100 Å, α = 90.00°, β = 90.76° and γ = 90.00°. The asymmetric unit holds Zn at (0.0000, 0.0000, 0.0000), Si at (0.0000, 0.0000, 0.5000) and Si at (0.0037, 0.5000, 0.7532).

=====

DFT (PBE) results for an optimized crystal structure of ZnSi.

Its crystal system is hexagonal.

It has space group P-6m2 (No. 187), with a = 2.6402 Å, b = 2.6402 Å, c = 5.0911 Å, α = 90.00°, β = 90.00° and γ = 120.00°. The asymmetric unit holds Zn at (0.0000, 0.0000, 0.0000) and Si at (0.6667, 0.3333, 0.5000).

=====

DFT (PBE) results for an optimized crystal structure of ZnSi2.

Its crystal system is tetragonal.

It has space group I4/mcm (No. 140), with a = 6.2119 Å, b = 6.2119 Å, c = 4.9968 Å, α = 90.00°, β = 90.00° and γ = 90.00°. The asymmetric unit holds Zn at (0.0000, 0.0000, 0.2500) and Si at (0.1383, 0.3617, 0.0000).

=====

Computed formation energy (no corrections), in the same sequence as the records: 0.6; 0.5; 2.2; 1.4; 0.7; 1.3; 1.4; 0.6; 0.8; 1.2; 0.7; 1.5 eV/f.u..